Entry 1:
## ZnCo2ReO (GGA+U)

Data for ZnCo2ReO after structural relaxation.

The value obtained for the electronic total energy is -5.346 eV/atom. The density of states at the Fermi level is 0.753 states/eV/atom.

The structure belongs to space group P4/mmm (No. 123); the cell edges are 3.9024, 3.9024 and 4.0166 Å and the angles 90.00°, 90.00° and 90.00°. The inequivalent atoms are Zn at (0.0000, 0.0000, 0.0000), Co at (0.0000, 0.5000, 0.5000), Re at (0.5000, 0.5000, 0.0000) and O at (0.5000, 0.5000, 0.5000).

Entry 2:
## ZnCoRe2O (GGA+U)

Data for ZnCoRe2O after structural relaxation.

The value obtained for the electronic total energy is -4.676 eV/atom. The density of states at the Fermi level is 1.416 states/eV/atom.

The structure belongs to space group P4/mmm (No. 123); the cell edges are 4.5943, 4.5943 and 4.3154 Å and the angles 90.00°, 90.00° and 90.00°. The inequivalent atoms are Zn at (0.0000, 0.0000, 0.0000), Co at (0.0000, 0.0000, 0.5000), Re at (0.0000, 0.5000, 0.0000) and O at (0.5000, 0.5000, 0.5000).

Entry 3:
## CoRhO3 (GGA+U)

Data for CoRhO3 after structural relaxation.

The value obtained for the electronic total energy is -6.216 eV/atom. The density of states at the Fermi level is 0.351 states/eV/atom.

The structure belongs to space group Cm (No. 8); the cell edges are 9.8973, 3.9250 and 3.1510 Å and the angles 90.00°, 98.45° and 90.00°. The inequivalent atoms are Co at (0.0000, 0.0000, 0.0000), Rh at (0.3085, 0.0000, 0.4171), O at (0.1813, 0.0000, 0.8593), O at (0.3606, 0.5000, 0.4168) and O at (0.4450, 0.0000, 0.9795).

Entry 4:
## CoRhO3 (GGA+U)

Data for CoRhO3 after structural relaxation.

The value obtained for the electronic total energy is -5.377 eV/atom. The density of states at the Fermi level is 0.671 states/eV/atom.

The structure belongs to space group Pm-3m (No. 221); the cell edges are 3.6754, 3.6754 and 3.6754 Å and the angles 90.00°, 90.00° and 90.00°. The inequivalent atoms are Co at (0.0000, 0.0000, 0.0000), Rh at (0.5000, 0.5000, 0.5000) and O at (0.0000, 0.0000, 0.5000).

Entry 5:
## Co2RhO (GGA+U)

Data for Co2RhO after structural relaxation.

The value obtained for the electronic total energy is -5.455 eV/atom. The density of states at the Fermi level is 0.471 states/eV/atom.

The structure belongs to space group I-42d (No. 122); the cell edges are 5.7773, 5.7773 and 6.4746 Å and the angles 90.00°, 90.00° and 90.00°. The inequivalent atoms are Co at (0.1718, 0.2500, 0.1250), Rh at (0.0000, 0.0000, 0.5000) and O at (0.0000, 0.0000, 0.0000).

Entry 6:
## Co2RhO4 (GGA+U)

Data for Co2RhO4 after structural relaxation.

The value obtained for the electronic total energy is -6.253 eV/atom. The density of states at the Fermi level is 0.586 states/eV/atom.

The structure belongs to space group P4_122 (No. 91); the cell edges are 6.0616, 6.0616 and 8.4563 Å and the angles 90.00°, 90.00° and 90.00°. The inequivalent atoms are Co at (0.0000, 0.2454, 0.0000), Co at (0.2499, 0.2499, 0.3750), Rh at (0.2467, 0.5000, 0.7500), O at (0.0172, 0.2562, 0.7582) and O at (0.2547, 0.4786, 0.9916).